Entry 1:
# SrLi2CaHg

A relaxed structure of SrLi2CaHg (PBE-GGA, Alexandria).

Geometry as CIF:
```
data_SrLi2CaHg
_cell_length_a 5.3929
_cell_length_b 5.3929
_cell_length_c 5.8042
_cell_angle_alpha 90.00
_cell_angle_beta 90.00
_cell_angle_gamma 90.00
_space_group_name_H-M_alt 'P 4/m m m'
_space_group_IT_number 123
_space_group_name_Hall '-P 4 2'
loop_
_atom_site_label
_atom_site_fract_x
_atom_site_fract_y
_atom_site_fract_z
_atom_site_occupancy
Sr1 0.0000 0.0000 0.0000 1
Li1 0.0000 0.5000 0.5000 1
Ca1 0.5000 0.5000 0.0000 1
Hg1 0.5000 0.5000 0.5000 1
```

The formation enthalpy at 0 K comes out at -0.065 eV per atom. The calculation puts the energy relative to the lowest polymorph listed for this composition at 0.63 eV per formula unit.

Entry 2:
# SrLiCaHg

A relaxed structure of SrLiCaHg (PBE-GGA, Alexandria).

Geometry as CIF:
```
data_SrLiCaHg
_cell_length_a 4.8054
_cell_length_b 4.4208
_cell_length_c 12.1883
_cell_angle_alpha 90.00
_cell_angle_beta 90.00
_cell_angle_gamma 90.00
_space_group_name_H-M_alt 'A m m 2'
_space_group_IT_number 38
loop_
_space_group_symop_operation_xyz
'x,y,z'
'-x,-y,z'
'-x,y,z'
'x,-y,z'
'x,y+1/2,z+1/2'
'-x,-y+1/2,z+1/2'
'-x,y+1/2,z+1/2'
'x,-y+1/2,z+1/2'
loop_
_atom_site_label
_atom_site_fract_x
_atom_site_fract_y
_atom_site_fract_z
_atom_site_occupancy
Sr1 0.0000 0.0000 0.0000 1
Li1 0.5000 0.0000 0.4040 1
Ca1 0.5000 0.0000 0.7068 1
Hg1 0.0000 0.0000 0.2816 1
```

The formation enthalpy at 0 K comes out at -0.280 eV per atom.

Entry 3:
# LiCa2TaHg

A relaxed structure of LiCa2TaHg (PBE-GGA, Alexandria).

Geometry as CIF:
```
data_LiCa2TaHg
_cell_length_a 5.9114
_cell_length_b 5.9114
_cell_length_c 5.0746
_cell_angle_alpha 90.00
_cell_angle_beta 90.00
_cell_angle_gamma 90.00
_space_group_name_H-M_alt 'P 4/m m m'
_space_group_IT_number 123
_space_group_name_Hall '-P 4 2'
loop_
_atom_site_label
_atom_site_fract_x
_atom_site_fract_y
_atom_site_fract_z
_atom_site_occupancy
Li1 0.0000 0.0000 0.0000 1
Ca1 0.0000 0.5000 0.5000 1
Ta1 0.0000 0.0000 0.5000 1
Hg1 0.5000 0.5000 0.0000 1
```

The formation enthalpy at 0 K comes out at 1.052 eV per atom.

Entry 4:
# LiCaTb2Hg4

A relaxed structure of LiCaTb2Hg4 (PBE-GGA, Alexandria).

Geometry as CIF:
```
data_LiCaTb2Hg4
_cell_length_a 5.1782
_cell_length_b 5.1782
_cell_length_c 25.4601
_cell_angle_alpha 90.00
_cell_angle_beta 90.00
_cell_angle_gamma 120.00
_space_group_name_H-M_alt 'R -3 m'
_space_group_IT_number 166
_space_group_name_Hall '-R 3 2"'
loop_
_atom_site_label
_atom_site_fract_x
_atom_site_fract_y
_atom_site_fract_z
_atom_site_occupancy
Li1 0.0000 0.0000 0.0000 1
Ca1 0.0000 0.0000 0.5000 1
Tb1 0.0000 0.0000 0.2531 1
Hg1 0.0000 0.0000 0.1209 1
Hg2 0.0000 0.0000 0.3737 1
```

The formation enthalpy at 0 K comes out at -0.471 eV per atom.

Entry 5:
# LiCaTbHg

A relaxed structure of LiCaTbHg (PBE-GGA, Alexandria).

Geometry as CIF:
```
data_LiCaTbHg
_cell_length_a 3.8094
_cell_length_b 3.8094
_cell_length_c 7.5265
_cell_angle_alpha 90.00
_cell_angle_beta 90.00
_cell_angle_gamma 90.00
_space_group_name_H-M_alt 'P 4 m m'
_space_group_IT_number 99
loop_
_space_group_symop_operation_xyz
'x,y,z'
'-y,x,z'
'-x,-y,z'
'y,-x,z'
'-x,y,z'
'y,x,z'
'x,-y,z'
'-y,-x,z'
loop_
_atom_site_label
_atom_site_fract_x
_atom_site_fract_y
_atom_site_fract_z
_atom_site_occupancy
Li1 0.0000 0.0000 0.0000 1
Ca1 0.5000 0.5000 0.7301 1
Tb1 0.5000 0.5000 0.2507 1
Hg1 0.0000 0.0000 0.4699 1
```

The formation enthalpy at 0 K comes out at -0.232 eV per atom. The calculation puts the energy relative to the lowest polymorph listed for this composition at 0.07 eV per formula unit.

Entry 6:
# LiCaTbHg

A relaxed structure of LiCaTbHg (PBE-GGA, Alexandria).

Geometry as CIF:
```
data_LiCaTbHg
_cell_length_a 7.4762
_cell_length_b 7.4762
_cell_length_c 7.4762
_cell_angle_alpha 90.00
_cell_angle_beta 90.00
_cell_angle_gamma 90.00
_space_group_name_H-M_alt 'F -4 3 m'
_space_group_IT_number 216
_space_group_name_Hall 'F -4 2 3'
loop_
_atom_site_label
_atom_site_fract_x
_atom_site_fract_y
_atom_site_fract_z
_atom_site_occupancy
Li1 0.0000 0.0000 0.0000 1
Ca1 0.2500 0.2500 0.2500 1
Tb1 0.2500 0.2500 0.7500 1
Hg1 0.0000 0.0000 0.5000 1
```

The formation enthalpy at 0 K comes out at -0.250 eV per atom. The calculation puts the energy relative to the lowest polymorph listed for this composition at 0.00 eV per formula unit.